The following is a GGA+U calculation of crystalline YCrH2O at its relaxed geometry, from Alexandria via LeMat-Bulk.

## Properties
- N(E_F) (states/eV/cell) = 1.91
- raw total energy (eV/atom) = -4.998
- symmetry = P4/mmm

Unit cell a=4.5552 b=4.5552 c=3.5229 alpha=90.00 beta=90.00 gamma=90.00
Atoms (fractional coordinates):
Y (0.0000, 0.0000, 0.0000)
Cr (0.5000, 0.5000, 0.0000)
H (0.0000, 0.5000, 0.5000)
H (0.5000, 0.0000, 0.5000)
O (0.5000, 0.5000, 0.5000)